No. 1
5
Lattice="-0.859 3.846 0.611 -2.178 -0.993 3.189 7.453 -0.776 2.356" Properties=species:S:1:pos:R:3 comment="Sr2MnF2 (meta-GGA SCAN, PBEsol geometry)" magnetic_moment_mub_per_fu=5.2 raw_formation_energy_ev_per_atom=-2.2643 total_energy_ev_per_atom=-16.241 pbc="T T T"
Sr 4.137 0.453 2.967
Sr 0.278 1.623 3.188
Mn 0.000 0.000 0.000
F 1.878 -0.171 3.722
F 2.537 2.248 2.433

=====

No. 2
5
Lattice="-1.074 -5.478 -1.288 3.886 0.227 -4.204 4.071 -1.662 3.673" Properties=species:S:1:pos:R:3 comment="Sr3MnF (meta-GGA SCAN, PBEsol geometry)" magnetic_moment_mub_per_fu=2.7 raw_formation_energy_ev_per_atom=-0.0507 total_energy_ev_per_atom=-17.775 pbc="T T T"
Sr 1.943 0.113 -2.102
Sr -0.537 -2.739 -0.644
Sr 2.035 -0.831 1.836
Mn 0.000 0.000 0.000
F 3.441 -3.457 -0.910

=====

No. 3
5
Lattice="4.831 0.000 0.000 0.000 4.831 0.000 0.000 0.000 5.184" Properties=species:S:1:pos:R:3 comment="SrMnW2F (meta-GGA SCAN, PBEsol geometry)" magnetic_moment_mub_per_fu=2.8 raw_formation_energy_ev_per_atom=3.3264 total_energy_ev_per_atom=-33.363 pbc="T T T"
F 2.415 2.415 2.592
W 0.000 2.415 0.000
W 2.415 0.000 0.000
Sr 0.000 0.000 0.000
Mn 0.000 0.000 2.592